[1]
Compound: AcDy2TmSe4
Source: Alexandria
Functional: PBE
Structure: relaxed

abc: 4.076 7.104 7.453
angles: 71.64 90.00 90.00
Atoms (fractional coordinates):
1 Ac 0.500 0.500 0.000
2 Dy 0.000 0.000 0.000
3 Dy 0.500 0.000 0.500
4 Tm 0.000 0.500 0.500
5 Se 0.000 0.766 0.728
6 Se 0.000 0.234 0.272
7 Se 0.500 0.753 0.265
8 Se 0.500 0.247 0.735

Values from the calculation:
energy relative to the elements, uncorrected: -1.71 eV/atom
DFT total energy: -5.68 eV/atom

[2]
Compound: AcDyTm2Se6
Source: Alexandria
Functional: PBE
Structure: relaxed

abc: 7.336 7.336 7.714
angles: 61.61 61.61 60.00
Atoms (fractional coordinates):
1 Ac 0.803 0.803 0.591
2 Dy 0.317 0.317 0.048
3 Tm 0.517 0.517 0.450
4 Tm 0.010 0.010 0.971
5 Se 0.616 0.235 0.242
6 Se 0.235 0.908 0.242
7 Se 0.908 0.616 0.242
8 Se 0.368 0.733 0.743
9 Se 0.733 0.156 0.743
10 Se 0.156 0.368 0.743

Values from the calculation:
energy relative to the elements, uncorrected: -1.87 eV/atom
DFT total energy: -5.73 eV/atom

[3]
Compound: Ac3DyTm3Se8
Source: Alexandria
Functional: PBE
Structure: relaxed

abc: 8.283 8.284 8.596
angles: 118.80 90.00 120.00
Atoms (fractional coordinates):
1 Ac 0.000 0.000 0.000
2 Ac 0.000 0.500 0.000
3 Ac 0.500 0.500 0.000
4 Dy 0.000 0.000 0.500
5 Tm 0.500 0.000 0.500
6 Tm 0.500 0.500 0.500
7 Tm 0.000 0.500 0.500
8 Se 0.261 0.523 0.284
9 Se 0.739 0.477 0.716
10 Se 0.754 0.508 0.277
11 Se 0.246 0.492 0.723
12 Se 0.754 0.022 0.276
13 Se 0.246 0.978 0.724
14 Se 0.268 0.022 0.276
15 Se 0.732 0.978 0.724

Values from the calculation:
energy relative to the elements, uncorrected: -1.83 eV/atom
DFT total energy: -5.71 eV/atom

[4]
Compound: AcDyTm2Se4
Source: Alexandria
Functional: PBE
Structure: relaxed

abc: 4.049 7.460 7.057
angles: 71.77 90.00 90.00
Atoms (fractional coordinates):
1 Ac 0.500 0.500 0.000
2 Dy 0.000 0.500 0.500
3 Tm 0.000 0.000 0.000
4 Tm 0.500 0.000 0.500
5 Se 0.000 0.776 0.730
6 Se 0.000 0.224 0.270
7 Se 0.500 0.767 0.255
8 Se 0.500 0.233 0.745

Values from the calculation:
energy relative to the elements, uncorrected: -1.70 eV/atom
DFT total energy: -5.65 eV/atom

[5]
Compound: AcDy2YSe6
Source: Alexandria
Functional: PBE
Structure: relaxed

abc: 7.386 7.386 7.788
angles: 61.69 61.69 60.00
Atoms (fractional coordinates):
1 Ac 0.805 0.805 0.586
2 Dy 0.518 0.518 0.447
3 Dy 0.010 0.010 0.969
4 Y 0.318 0.318 0.046
5 Se 0.612 0.231 0.244
6 Se 0.231 0.913 0.244
7 Se 0.913 0.612 0.244
8 Se 0.374 0.730 0.745
9 Se 0.729 0.152 0.745
10 Se 0.152 0.374 0.745

Values from the calculation:
energy relative to the elements, uncorrected: -1.88 eV/atom
DFT total energy: -5.95 eV/atom

[6]
Compound: AcDy2YSe4
Source: Alexandria
Functional: PBE
Structure: relaxed

abc: 4.109 7.340 7.242
angles: 71.41 90.00 90.00
Atoms (fractional coordinates):
1 Ac 0.500 0.500 0.000
2 Dy 0.000 0.000 0.000
3 Dy 0.500 0.000 0.500
4 Y 0.000 0.500 0.500
5 Se 0.000 0.770 0.732
6 Se 0.000 0.230 0.268
7 Se 0.500 0.761 0.258
8 Se 0.500 0.239 0.742

Values from the calculation:
energy relative to the elements, uncorrected: -1.75 eV/atom
DFT total energy: -5.96 eV/atom